The following is a PBE calculation of an optimized crystal structure of MgInAsRh2, from Alexandria.

Cell and atoms, written as POSCAR:
```
MgInAsRh2
1.0
4.664 0.000 0.000
0.000 4.664 0.000
0.000 0.000 4.643
Mg In As Rh
1 1 1 2
Direct
0.000 0.000 0.000
0.500 0.500 0.500
0.000 0.000 0.500
0.000 0.500 0.000
0.500 0.000 0.000
```

Energy of formation in eV per atom: 0.704
Total moment in μB per cell: 0.00
Calculated volume in Å³ per cell: 101
SG: P4/mmm
DFT total energy in eV per atom: -4.0331


The following is a PBE calculation of an optimized crystal structure of ScInRe, from Alexandria.

Cell and atoms, written as POSCAR:
```
ScInRe
1.0
0.000 3.235 3.235
3.235 0.000 3.235
3.235 3.235 0.000
Sc In Re
1 1 1
Direct
0.000 0.000 0.000
0.500 0.500 0.500
0.250 0.250 0.250
```

Energy of formation in eV per atom: 0.539
Total moment in μB per cell: 0.67
E above lowest polymorph in meV/atom: 492
Calculated volume in Å³ per cell: 68
SG: F-43m
DFT total energy in eV per atom: -6.6340


The following is a PBE calculation of an optimized crystal structure of LuMgBi2, from Alexandria.

Cell and atoms, written as POSCAR:
```
LuMgBi2
1.0
5.109 0.000 0.000
0.000 5.109 0.000
0.000 0.000 4.181
Lu Mg Bi
1 1 2
Direct
0.000 0.000 0.000
0.500 0.500 0.000
0.000 0.500 0.500
0.500 0.000 0.500
```

Energy of formation in eV per atom: -0.329
Total moment in μB per cell: 0.00
E above lowest polymorph in meV/atom: 1
Calculated volume in Å³ per cell: 109
SG: P4/mmm
DFT total energy in eV per atom: -3.7987